First-principles (GGA+U) data for a relaxed structure of K2FeOsO6, as listed in Alexandria via LeMat-Bulk.

a b c (Å): 5.9656 5.9656 5.0079
angles (deg): 90.00 90.00 120.00
With the nearest neighbours (Å) after each atom.
Space group P-3m1 (No. 164)
Symmetry-distinct sites (fractional):
K 0.3333 0.6667 0.2060 (multiplicity 2)  12 O 3.00-3.34
Fe 0.0000 0.0000 0.0000 (multiplicity 1)  6 O 1.95
Os 0.0000 0.0000 0.5000 (multiplicity 1)  6 O 1.92
O 0.1431 0.2862 0.7448 (multiplicity 6)  1 Os 1.92, 1 Fe 1.95

The calculation puts the energy at -60.1 eV per formula unit.